Record 1
# AcPmSm2Tl4 (PBE, optimized geometry)
data_AcPmSm2Tl4
_cell_length_a 5.5750
_cell_length_b 5.5750
_cell_length_c 27.3566
_cell_angle_alpha 90.00
_cell_angle_beta 90.00
_cell_angle_gamma 120.00
_symmetry_space_group_name_H-M 'R -3 m'
_symmetry_Int_Tables_number 166
_symmetry_space_group_name_Hall '-R 3 2"'
loop_
_atom_site_label
_atom_site_type_symbol
_atom_site_fract_x
_atom_site_fract_y
_atom_site_fract_z
_atom_site_occupancy
Ac1 Ac 0.0000 0.0000 0.0000 1
Pm1 Pm 0.0000 0.0000 0.5000 1
Sm1 Sm 0.0000 0.0000 0.2494 1
Tl1 Tl 0.0000 0.0000 0.1276 1
Tl2 Tl 0.0000 0.0000 0.3783 1
# VASP energy   -91.74 eV for the cell shown
# Volume   245.45 Å³/f.u.
# Formation energy from the elements   -2.82 eV/f.u.
# Magnetic moment   0.000 Bohr magnetons per cell


Record 2
# AcPmSmTm (PBE, optimized geometry)
data_AcPmSmTm
_cell_length_a 8.3061
_cell_length_b 8.3061
_cell_length_c 8.3061
_cell_angle_alpha 90.00
_cell_angle_beta 90.00
_cell_angle_gamma 90.00
_symmetry_space_group_name_H-M 'F -4 3 m'
_symmetry_Int_Tables_number 216
_symmetry_space_group_name_Hall 'F -4 2 3'
loop_
_atom_site_label
_atom_site_type_symbol
_atom_site_fract_x
_atom_site_fract_y
_atom_site_fract_z
_atom_site_occupancy
Ac1 Ac 0.0000 0.0000 0.0000 1
Pm1 Pm 0.2500 0.2500 0.2500 1
Sm1 Sm 0.0000 0.0000 0.5000 1
Tm1 Tm 0.2500 0.2500 0.7500 1
# VASP energy   -70.04 eV for the cell shown
# Volume   143.26 Å³/f.u.
# Formation energy from the elements   0.54 eV/f.u.
# E above lowest polymorph   0.00 eV per formula unit
# Magnetic moment   0.000 Bohr magnetons per cell


Record 3
# AcPm4SmTm2 (PBE, optimized geometry)
data_AcPm4SmTm2
_cell_length_a 11.5371
_cell_length_b 5.1581
_cell_length_c 10.3663
_cell_angle_alpha 90.00
_cell_angle_beta 116.74
_cell_angle_gamma 90.00
_symmetry_space_group_name_H-M 'C 1 2/m 1'
_symmetry_Int_Tables_number 12
_symmetry_space_group_name_Hall '-C 2y'
loop_
_atom_site_label
_atom_site_type_symbol
_atom_site_fract_x
_atom_site_fract_y
_atom_site_fract_z
_atom_site_occupancy
Ac1 Ac 0.0000 0.0000 0.0000 1
Pm1 Pm 0.2475 0.0000 0.8698 1
Pm2 Pm 0.2487 0.5000 0.6217 1
Sm1 Sm 0.0000 0.0000 0.5000 1
Tm1 Tm 0.0007 0.5000 0.7441 1
# VASP energy   -72.95 eV for the cell shown
# Volume   275.45 Å³/f.u.
# Formation energy from the elements   0.30 eV/f.u.
# Magnetic moment   0.000 Bohr magnetons per cell


Record 4
# AcPm6Sm2Tm (PBE, optimized geometry)
data_AcPm6Sm2Tm
_cell_length_a 9.3570
_cell_length_b 15.5897
_cell_length_c 9.7174
_cell_angle_alpha 90.00
_cell_angle_beta 95.60
_cell_angle_gamma 90.00
_symmetry_space_group_name_H-M 'C 1 2/c 1'
_symmetry_Int_Tables_number 15
_symmetry_space_group_name_Hall '-C 2yc'
loop_
_atom_site_label
_atom_site_type_symbol
_atom_site_fract_x
_atom_site_fract_y
_atom_site_fract_z
_atom_site_occupancy
Ac1 Ac 0.0000 0.0241 0.2500 1
Pm1 Pm 0.0576 0.1896 0.9449 1
Pm2 Pm 0.1042 0.3920 0.1161 1
Pm3 Pm 0.2133 0.2250 0.3112 1
Sm1 Sm 0.2397 0.4424 0.4534 1
Tm1 Tm 0.0000 0.4127 0.7500 1
# VASP energy   -181.33 eV for the cell shown
# Volume   352.68 Å³/f.u.
# Formation energy from the elements   1.19 eV/f.u.
# Magnetic moment   0.000 Bohr magnetons per cell


Record 5
# Ac2PmSm5Tm (PBE, optimized geometry)
data_Ac2PmSm5Tm
_cell_length_a 5.8169
_cell_length_b 20.5220
_cell_length_c 11.0070
_cell_angle_alpha 90.00
_cell_angle_beta 90.00
_cell_angle_gamma 90.00
_symmetry_space_group_name_H-M 'C m c 21'
_symmetry_Int_Tables_number 36
_symmetry_space_group_name_Hall 'C 2c -2'
loop_
_atom_site_label
_atom_site_type_symbol
_atom_site_fract_x
_atom_site_fract_y
_atom_site_fract_z
_atom_site_occupancy
Ac1 Ac 0.0000 0.1102 0.0000 1
Ac2 Ac 0.0000 0.1190 0.5889 1
Pm1 Pm 0.0000 0.2070 0.2726 1
Sm1 Sm 0.0000 0.0203 0.2925 1
Sm2 Sm 0.0000 0.2847 0.5683 1
Sm3 Sm 0.0000 0.2966 0.9645 1
Sm4 Sm 0.0000 0.3971 0.2913 1
Sm5 Sm 0.0000 0.4792 0.0083 1
Tm1 Tm 0.0000 0.4105 0.7309 1
# VASP energy   -159.09 eV for the cell shown
# Volume   328.49 Å³/f.u.
# Formation energy from the elements   1.26 eV/f.u.
# Magnetic moment   0.000 Bohr magnetons per cell


Record 6
# AcPm2Sm2Tm2 (PBE, optimized geometry)
data_AcPm2Sm2Tm2
_cell_length_a 11.5438
_cell_length_b 5.1676
_cell_length_c 8.1395
_cell_angle_alpha 90.00
_cell_angle_beta 98.29
_cell_angle_gamma 90.00
_symmetry_space_group_name_H-M 'C 1 2/m 1'
_symmetry_Int_Tables_number 12
_symmetry_space_group_name_Hall '-C 2y'
loop_
_atom_site_label
_atom_site_type_symbol
_atom_site_fract_x
_atom_site_fract_y
_atom_site_fract_z
_atom_site_occupancy
Ac1 Ac 0.0000 0.0000 0.0000 1
Pm1 Pm 0.2145 0.5000 0.1518 1
Sm1 Sm 0.0743 0.5000 0.7073 1
Tm1 Tm 0.1426 0.0000 0.4344 1
# VASP energy   -63.42 eV for the cell shown
# Volume   240.24 Å³/f.u.
# Formation energy from the elements   0.28 eV/f.u.
# Magnetic moment   0.000 Bohr magnetons per cell


Q: Look up the volume of the fifth one.
A: 328.49 Å³/f.u.


Q: Which value of volume does entry 2 give?
A: 143.26 Å³/f.u.


Q: magnetic moment of number 5 (Ac2PmSm5Tm)?
A: 0.000 Bohr magnetons per cell


Q: Number 5 is which compound?
A: Ac2PmSm5Tm